1.
Computed, not measured: a relaxed B2PdAuI crystal at the PBE level of DFT.

Unit cell a=7.768 b=3.554 c=8.462 alpha=90.00 beta=119.56 gamma=90.00
Fractional coordinates of all 10 atoms:
Pd1 0.162 0.500 0.305
Pd2 0.162 0.000 0.805
B1 0.293 0.500 0.764
B2 0.140 0.500 0.544
B3 0.140 0.000 0.044
B4 0.293 0.000 0.264
I1 0.605 0.500 0.963
I2 0.605 0.000 0.463
Au1 0.959 0.000 0.419
Au2 0.959 0.500 0.919

Calculated values
SG: Cm, No. 8
Electronic total energy, eV for the cell shown: -42.8
Formation energy without anion corrections, eV/atom: 0.391

***

2.
Computed, not measured: a relaxed B2PdAuI crystal at the PBE level of DFT.

Unit cell a=4.256 b=3.209 c=8.010 alpha=90.00 beta=95.73 gamma=90.00
Fractional coordinates of all 5 atoms:
Pd1 0.859 0.500 0.337
I1 0.865 0.000 0.611
Au1 0.154 0.000 0.084
B1 0.650 0.750 0.084
B2 0.650 0.250 0.084

Calculated values
SG: Pm, No. 6
Electronic total energy, eV for the cell shown: -22.0
Formation energy without anion corrections, eV/atom: 0.273

***

3.
Computed, not measured: a relaxed B2PdAuI crystal at the PBE level of DFT.

Unit cell a=4.207 b=3.296 c=7.134 alpha=90.00 beta=95.99 gamma=90.00
Fractional coordinates of all 5 atoms:
Pd1 0.398 0.000 0.785
I1 0.927 0.000 0.030
B1 0.550 0.751 0.524
B2 0.550 0.249 0.524
Au1 0.033 0.000 0.450

Calculated values
SG: Pm, No. 6
Electronic total energy, eV for the cell shown: -22.1
Formation energy without anion corrections, eV/atom: 0.249

***

4.
Computed, not measured: a relaxed B2PdAuI crystal at the PBE level of DFT.

Unit cell a=3.474 b=4.408 c=5.713 alpha=97.78 beta=94.39 gamma=90.49
Fractional coordinates of all 5 atoms:
B1 0.997 0.102 0.938
B2 0.032 0.272 0.219
Pd1 0.953 0.315 0.617
Au1 0.468 0.857 0.786
I1 0.544 0.613 0.271

Calculated values
SG: P1, No. 1
Electronic total energy, eV for the cell shown: -20.2
Formation energy without anion corrections, eV/atom: 0.628

***

Question: Which formula does entry 4 have?
Answer: B2PdAuI

***

Repeat the first record exactly.
Computed, not measured: a relaxed B2PdAuI crystal at the PBE level of DFT.

Unit cell a=7.768 b=3.554 c=8.462 alpha=90.00 beta=119.56 gamma=90.00
Fractional coordinates of all 10 atoms:
Pd1 0.162 0.500 0.305
Pd2 0.162 0.000 0.805
B1 0.293 0.500 0.764
B2 0.140 0.500 0.544
B3 0.140 0.000 0.044
B4 0.293 0.000 0.264
I1 0.605 0.500 0.963
I2 0.605 0.000 0.463
Au1 0.959 0.000 0.419
Au2 0.959 0.500 0.919

Calculated values
SG: Cm, No. 8
Electronic total energy, eV for the cell shown: -42.8
Formation energy without anion corrections, eV/atom: 0.391